Below is TmV2InO8 after structural relaxation, with properties calculated at the PBE+U level.

* raw total energy: -88.2 eV/cell
* mass density: 5435 kg/m³

```
TmV2InO8
1.0
5.898 0.072 0.000
-2.551 5.318 0.000
-1.673 -2.695 4.973
Tm V In O
1 2 1 8
direct
0.250 0.750 0.500 Tm
0.750 0.250 0.500 V
0.500 0.500 0.000 V
0.000 0.000 0.000 In
0.383 0.073 0.310 O
0.326 0.517 0.191 O
0.326 0.136 0.809 O
0.763 0.073 0.690 O
0.864 0.674 0.191 O
0.927 0.237 0.310 O
0.927 0.617 0.690 O
0.483 0.674 0.809 O
```